[1]
# Hf7BiSb2H2

A relaxed structure of Hf7BiSb2H2 (GGA-PBE, the Alexandria database).

Geometry as POSCAR:
```
Hf7BiSb2H2
1.0
3.0153 -3.0032 0.0000
3.0153 3.0032 0.0000
-2.4827 0.0000 12.4470
Hf Bi Sb H
7 1 2 2
direct
0.0000 0.0000 0.0000 Hf
0.0808 0.5830 0.1961 Hf
0.1599 0.1599 0.4023 Hf
0.4170 0.9192 0.8039 Hf
0.5830 0.0808 0.1961 Hf
0.8401 0.8401 0.5977 Hf
0.9192 0.4170 0.8039 Hf
0.5000 0.5000 0.0000 Bi
0.3469 0.3469 0.6325 Sb
0.6531 0.6531 0.3675 Sb
0.0708 0.0708 0.1678 H
0.9292 0.9292 0.8322 H
```

Output
SG ... C2/m (12)
Spin magnetization ... 0.0 Bohr magnetons per cell
Density of states at the Fermi level ... 6.31 states/eV per cell
Electronic total energy ... -7.68 eV/atom
Crystal system ... monoclinic

***

[2]
# Hf2ScBiH

A relaxed structure of Hf2ScBiH (GGA-PBE, the Alexandria database).

Geometry as POSCAR:
```
Hf2ScBiH
1.0
4.3585 0.0000 0.0000
0.0000 4.3585 0.0000
0.0000 0.0000 4.8067
Hf Sc Bi H
2 1 1 1
direct
0.0000 0.5000 0.0000 Hf
0.5000 0.0000 0.0000 Hf
0.0000 0.0000 0.5000 Sc
0.5000 0.5000 0.5000 Bi
0.0000 0.0000 0.0000 H
```

Output
SG ... P4/mmm (123)
Spin magnetization ... 0.0 Bohr magnetons per cell
Density of states at the Fermi level ... 3.10 states/eV per cell
Electronic total energy ... -6.94 eV/atom
Crystal system ... tetragonal

***

[3]
# HfBiHSe

A relaxed structure of HfBiHSe (GGA-PBE, the Alexandria database).

Geometry as POSCAR:
```
HfBiHSe
1.0
3.0190 -1.7431 0.0000
3.0190 1.7431 0.0000
-2.0284 0.0000 7.9578
Hf Bi H Se
1 1 1 1
direct
0.0000 0.0000 0.0000 Hf
0.7801 0.7801 0.3375 Bi
0.3475 0.3475 0.0422 H
0.5937 0.5937 0.7830 Se
```

Output
SG ... Cm (8)
Spin magnetization ... 0.0 Bohr magnetons per cell
Density of states at the Fermi level ... 0.83 states/eV per cell
Electronic total energy ... -5.84 eV/atom
Crystal system ... monoclinic

***

[4]
# HfBiTeH

A relaxed structure of HfBiTeH (GGA-PBE, the Alexandria database).

Geometry as POSCAR:
```
HfBiTeH
1.0
3.0635 -1.7690 0.0000
3.0635 1.7690 0.0000
-2.0534 0.0000 8.3703
Hf Bi Te H
1 1 1 1
direct
0.0000 0.0000 0.0000 Hf
0.4369 0.4369 0.3091 Bi
0.2520 0.2520 0.7573 Te
0.6746 0.6746 0.0238 H
```

Output
SG ... Cm (8)
Spin magnetization ... 0.0 Bohr magnetons per cell
Density of states at the Fermi level ... 2.28 states/eV per cell
Electronic total energy ... -5.53 eV/atom
Crystal system ... monoclinic

***

Question: What is the formula in the second record?
Answer: Hf2ScBiH